No. 1
Computed, not measured: a relaxed Ho2Al3Ag2 crystal at the PBE level of DFT.

Cell lengths 4.2609, 7.3763, 9.7014 Å; angles 90.00, 102.69, 90.00 degrees
Closest atoms and distances in Å follow each position.
Fractional positions:
Ho 0.8442 0.7500 0.6884  6 Al 3.09-3.11, 6 Ag 3.15-3.28
Ho 0.1558 0.2500 0.3116  6 Al 3.09-3.11, 6 Ag 3.15-3.28
Al 0.4405 0.9245 0.8810  2 Al 2.51-2.57, 1 Ag 2.63
Al 0.5595 0.4245 0.1190  2 Al 2.51-2.57, 1 Ag 2.63
Ag 0.6890 0.9469 0.3779  4 Al 2.63-2.77, 1 Ag 2.90
Ho 0.0514 0.7500 0.1029  9 Al 3.21-3.28
Al 0.7755 0.2500 0.5511  6 Ag 2.66-2.77
Ag 0.6890 0.5531 0.3779  4 Al 2.63-2.77, 1 Ag 2.90
Al 0.2245 0.7500 0.4489  6 Ag 2.66-2.77
Al 0.4405 0.5755 0.8810  2 Al 2.51-2.57, 1 Ag 2.63
Ag 0.3110 0.4469 0.6221  4 Al 2.63-2.77, 1 Ag 2.90
Ag 0.3110 0.0531 0.6221  4 Al 2.63-2.77, 1 Ag 2.90
Al 0.5595 0.0755 0.1190  2 Al 2.51-2.57, 1 Ag 2.63
Ho 0.9486 0.2500 0.8971  9 Al 3.21-3.28

Calculated values
SG: Cmcm
Energy above the most stable polymorph in this dataset, meV per atom: 41
ρ, g/cm3: 6.995


No. 2
Computed, not measured: a relaxed BiOsRuPb2 crystal at the PBE level of DFT.

Cell lengths 5.8336, 5.0016, 5.8336 Å; angles 90.00, 90.00, 90.00 degrees
Closest atoms and distances in Å follow each position.
Fractional positions:
Bi 0.0000 0.0000 0.0000  2 Ru 2.50
Pb 0.5000 0.0000 0.0000  2 Bi 2.92
Pb 0.0000 0.0000 0.5000  2 Bi 2.92
Os 0.5000 0.5000 0.5000  8 Pb 3.84, 4 Ru 4.13
Ru 0.0000 0.5000 0.0000  2 Bi 2.50

Calculated values
SG: P4/mmm
Energy above the most stable polymorph in this dataset, meV per atom: 27
ρ, g/cm3: 8.923


No. 3
Computed, not measured: a relaxed EuScSnPd crystal at the PBE level of DFT.

Cell lengths 5.1119, 5.1119, 5.1119 Å; angles 60.00, 60.00, 60.00 degrees
Closest atoms and distances in Å follow each position.
Fractional positions:
Sc 0.2500 0.2500 0.2500  4 Sn 3.13, 4 Pd 3.13
Pd 0.0000 0.0000 0.0000  4 Sc 3.13, 4 Eu 3.13
Sn 0.5000 0.5000 0.5000  4 Eu 3.13, 4 Sc 3.13
Eu 0.7500 0.7500 0.7500  4 Pd 3.13, 4 Sn 3.13

Calculated values
SG: F-43m
Electronic total energy, eV per cell: -28.18
ρ, g/cm3: 7.420


No. 4
Computed, not measured: a relaxed Te2SeBr crystal at the PBE level of DFT.

Cell lengths 7.8396, 7.8396, 7.8396 Å; angles 32.00, 32.00, 32.00 degrees
Closest atoms and distances in Å follow each position.
Fractional positions:
Te 0.0046 0.0046 0.0046  3 Se 2.92, 3 Te 3.06
Te 0.2581 0.2581 0.2581  3 Te 3.06, 3 Br 3.25
Se 0.7392 0.7392 0.7392  3 Te 2.92, 3 Br 3.23
Br 0.4981 0.4981 0.4981  3 Se 3.23, 3 Te 3.25

Calculated values
SG: R3m
Raw formation energy, eV/atom: 0.0699
Energy above the most stable polymorph in this dataset, meV per atom: 131
ρ, g/cm3: 5.720


No. 5
Computed, not measured: a relaxed Th4ZnAu7 crystal at the PBE level of DFT.

Cell lengths 4.9852, 8.7924, 7.8001 Å; angles 69.05, 71.36, 73.53 degrees
Closest atoms and distances in Å follow each position.
Fractional positions:
Th 0.4342 0.7549 0.3767  8 Au 2.94-3.27
Th 0.5658 0.2451 0.6233  8 Au 2.94-3.27
Au 0.1866 0.0344 0.5925  1 Zn 2.94, 2 Au 2.98, 4 Th 3.10-3.21
Au 0.8134 0.9656 0.4075  1 Zn 2.94, 2 Au 2.98, 4 Th 3.10-3.21
Au 0.9007 0.3447 0.8539  1 Zn 2.79, 2 Au 2.97
Th 0.2730 0.2711 0.1829  6 Au 2.98-3.20
Au 0.3393 0.5448 0.7766  5 Th 2.97-3.20, 3 Au 2.97-3.13
Au 0.6607 0.4552 0.2234  5 Th 2.97-3.20, 3 Au 2.97-3.13
Au 0.5000 0.0000 0.0000  2 Zn 2.49
Th 0.7270 0.7289 0.8171  6 Au 2.98-3.20
Zn 0.0000 0.0000 0.0000  4 Au 2.49-2.79
Au 0.0993 0.6553 0.1461  1 Zn 2.79, 2 Au 2.97

Calculated values
SG: C2/m
Electronic total energy, eV per cell: -60.26
ρ, g/cm3: 13.266


No. 6
Computed, not measured: a relaxed YCo4Si crystal at the PBE level of DFT.

Cell lengths 4.8648, 4.8648, 4.8648 Å; angles 60.00, 60.00, 60.00 degrees
Closest atoms and distances in Å follow each position.
Fractional positions:
Y 0.0000 0.0000 0.0000  12 Co 2.86, 4 Si 2.98
Co 0.3763 0.3763 0.3763  6 Co 2.41-2.46
Co 0.3763 0.3763 0.8710  6 Co 2.41-2.46
Co 0.3763 0.8710 0.3763  6 Co 2.41-2.46
Si 0.7500 0.7500 0.7500  12 Co 2.85, 4 Y 2.98
Co 0.8710 0.3763 0.3763  6 Co 2.41-2.46

Calculated values
SG: F-43m
Raw formation energy, eV/atom: -0.0897
Energy above the most stable polymorph in this dataset, meV per atom: 268
ρ, g/cm3: 7.195


- Which of these has the lowest ρ?
  Te2SeBr